CuBP2S SCAN PBEsol geometry; energy above the most stable polymorph in this dataset = 0.0 meV/atom; E_form (uncorrected) = 1.0278 eV per atom; SG = No. 123
1.0
3.937 0.000 0.000
0.000 3.937 0.000
0.000 0.000 4.338
Cu P B S
1 2 1 1
Cartesian
1.969 1.969 2.169
0.000 1.969 0.000
1.969 0.000 0.000
0.000 0.000 0.000
0.000 0.000 2.169